No. 1
KTiHg2S4 after structural relaxation. Source: Alexandria, functional PBE.

The energy relative to the elements, uncorrected is -0.688 eV/atom. As for the space group: Fmm2, No. 42. Its crystal system is orthorhombic.

Cell lengths 6.7372, 6.7372, 6.5994 Å; angles 117.09, 117.09, 96.20 degrees
Fractional coordinates of all 8 atoms:
Hg1 0.2733 0.7733 0.5465
Hg2 0.7733 0.2733 0.5465
S1 0.8036 0.4184 0.2220
S2 0.4184 0.8036 0.2220
S3 0.1389 0.1389 0.6984
S4 0.5595 0.5595 0.6984
Ti1 0.4892 0.4892 0.9784
K1 0.0442 0.0442 0.0884

***

No. 2
K2TiHgS4 after structural relaxation. Source: Alexandria, functional PBE.

The energy relative to the elements, uncorrected is -1.014 eV/atom. As for the space group: I-4, No. 82. Its crystal system is tetragonal.

Cell lengths 7.1709, 7.1708, 6.8240 Å; angles 121.70, 121.70, 90.00 degrees
Fractional coordinates of all 8 atoms:
Ti1 0.7359 0.7359 0.4719
S1 0.6989 0.6417 0.7247
S2 0.3889 0.7729 0.2191
S3 0.0258 0.0829 0.7246
S4 0.8302 0.4462 0.2191
Hg1 0.9857 0.4857 0.9714
K1 0.2358 0.2358 0.4715
K2 0.4859 0.9859 0.9717